First-principles (GGA-PBE) data for a relaxed Li3Te5S12 crystal, as listed in Alexandria via LeMat-Bulk.

Cell lengths 13.9394, 13.9394, 13.9394 Å; angles 109.47, 109.47, 109.47 degrees
Fractional coordinates of all 80 atoms:
S1 0.9081 0.8302 0.5431
S2 0.9221 0.8302 0.7871
S3 0.2871 0.4221 0.8302
S4 0.4221 0.2871 0.3302
S5 0.8650 0.2871 0.4569
S6 0.8302 0.9081 0.0431
S7 0.0919 0.1698 0.4569
S8 0.7871 0.4569 0.3650
S9 0.0779 0.1698 0.2129
S10 0.9569 0.5919 0.1698
S11 0.6698 0.2129 0.5779
S12 0.6350 0.0431 0.2129
S13 0.5779 0.8650 0.4081
S14 0.7129 0.5779 0.1698
S15 0.6698 0.4569 0.5919
S16 0.5779 0.7129 0.6698
S17 0.2129 0.6698 0.0779
S18 0.1350 0.7129 0.5431
S19 0.3650 0.4081 0.0779
S20 0.7129 0.1350 0.0431
S21 0.5919 0.6350 0.4221
S22 0.9569 0.3650 0.2871
S23 0.0431 0.6350 0.7129
S24 0.4081 0.3650 0.5779
S25 0.1698 0.0779 0.7129
S26 0.8650 0.5779 0.9081
S27 0.7871 0.3302 0.9221
S28 0.2871 0.8650 0.9569
S29 0.0431 0.4081 0.8302
S30 0.8302 0.9221 0.2871
S31 0.0779 0.9081 0.3650
S32 0.3302 0.7871 0.4221
S33 0.4569 0.7871 0.8650
S34 0.5431 0.3302 0.9081
S35 0.9081 0.0779 0.8650
S36 0.4081 0.0431 0.3302
S37 0.9221 0.0919 0.6350
S38 0.5919 0.9569 0.6698
S39 0.1350 0.4221 0.0919
S40 0.5431 0.2129 0.1350
S41 0.4569 0.6698 0.0919
S42 0.3302 0.5431 0.4081
S43 0.6350 0.5919 0.9221
S44 0.3650 0.9569 0.7871
S45 0.0919 0.9221 0.1350
S46 0.2129 0.5431 0.6350
S47 0.1698 0.0919 0.9569
S48 0.4221 0.1350 0.5919
Te1 0.1250 0.7500 0.3750
Te2 0.0000 0.0000 0.0000
Te3 0.2500 0.8750 0.1250
Te4 0.0000 0.5000 0.5000
Te5 0.2500 0.3750 0.6250
Te6 0.0000 0.0000 0.5000
Te7 0.6250 0.7500 0.8750
Te8 0.7500 0.6250 0.3750
Te9 0.8750 0.6250 0.7500
Te10 0.5000 0.0000 0.5000
Te11 0.8750 0.2500 0.6250
Te12 0.5000 0.0000 0.0000
Te13 0.3750 0.1250 0.7500
Te14 0.5000 0.5000 0.0000
Te15 0.1250 0.3750 0.2500
Te16 0.3750 0.2500 0.1250
Te17 0.6250 0.8750 0.2500
Te18 0.5000 0.5000 0.5000
Te19 0.7500 0.1250 0.8750
Te20 0.0000 0.5000 0.0000
Li1 0.7500 0.3750 0.1250
Li2 0.2500 0.1250 0.3750
Li3 0.8750 0.7500 0.1250
Li4 0.7500 0.8750 0.6250
Li5 0.3750 0.6250 0.2500
Li6 0.6250 0.3750 0.7500
Li7 0.1250 0.8750 0.7500
Li8 0.8750 0.1250 0.2500
Li9 0.1250 0.2500 0.8750
Li10 0.2500 0.6250 0.8750
Li11 0.3750 0.7500 0.6250
Li12 0.6250 0.2500 0.3750

Results
The calculation puts the energy relative to the elements, uncorrected at -0.03 eV/atom. The total magnetization is 0.00 μB/atom.

First-principles (GGA-PBE) data for a relaxed LiTe2S crystal, as listed in Alexandria via LeMat-Bulk.

Cell lengths 5.7791, 5.7791, 8.4901 Å; angles 70.10, 70.10, 90.00 degrees
Fractional coordinates of all 8 atoms:
Te1 0.1016 0.6250 0.2500
Te2 0.8750 0.8984 0.7500
Te3 0.3750 0.3516 0.7500
Te4 0.6484 0.1250 0.2500
Li1 0.5000 0.5000 0.0000
Li2 0.2500 0.7500 0.5000
S1 0.0000 0.0000 0.0000
S2 0.7500 0.2500 0.5000

Results
The calculation puts the energy relative to the elements, uncorrected at -0.02 eV/atom. The total magnetization is 0.00 μB/atom.

First-principles (GGA-PBE) data for a relaxed Li2TeS3 crystal, as listed in Alexandria via LeMat-Bulk.

Cell lengths 5.3252, 7.5818, 6.6163 Å; angles 106.64, 113.73, 90.00 degrees
Fractional coordinates of all 12 atoms:
S1 0.5214 0.7500 0.0000
S2 0.8356 0.4187 0.6745
S3 0.1611 0.0813 0.3255
S4 0.8389 0.9187 0.6745
S5 0.1644 0.5813 0.3255
S6 0.4786 0.2500 0.0000
Li1 0.6588 0.5780 0.3127
Li2 0.3461 0.9220 0.6873
Li3 0.6539 0.0780 0.3127
Li4 0.3412 0.4220 0.6873
Te1 0.0169 0.2500 0.0000
Te2 0.9831 0.7500 0.0000

Results
The calculation puts the energy relative to the elements, uncorrected at -0.65 eV/atom. The total magnetization is 0.00 μB/atom. The calculation puts the offset from the most stable computed form at 25 meV per atom.

First-principles (GGA-PBE) data for a relaxed LiTe3S crystal, as listed in Alexandria via LeMat-Bulk.

Cell lengths 4.9925, 4.9925, 4.9925 Å; angles 90.00, 90.00, 90.00 degrees
Fractional coordinates of all 5 atoms:
Te1 0.0000 0.0000 0.5000
Te2 0.0000 0.5000 0.0000
Te3 0.5000 0.0000 0.0000
Li1 0.0000 0.0000 0.0000
S1 0.5000 0.5000 0.5000

Results
The calculation puts the energy relative to the elements, uncorrected at 0.50 eV/atom. The total magnetization is 0.00 μB/atom. The calculation puts the offset from the most stable computed form at 334 meV per atom.

First-principles (GGA-PBE) data for a relaxed LiThTeS crystal, as listed in Alexandria via LeMat-Bulk.

Cell lengths 4.7470, 4.7470, 11.1983 Å; angles 77.76, 77.76, 60.00 degrees
Fractional coordinates of all 8 atoms:
Li1 0.1996 0.1996 0.4013
Li2 0.8004 0.8004 0.5987
Th1 0.3818 0.3818 0.8546
Th2 0.6182 0.6182 0.1454
S1 0.2961 0.2961 0.1117
S2 0.7039 0.7039 0.8883
Te1 0.8882 0.8882 0.3354
Te2 0.1118 0.1118 0.6646

Results
The calculation puts the energy relative to the elements, uncorrected at -1.35 eV/atom. The total magnetization is 0.00 μB/atom.

First-principles (GGA-PBE) data for a relaxed LiTl4Te3S8 crystal, as listed in Alexandria via LeMat-Bulk.

Cell lengths 7.8942, 8.6555, 8.1599 Å; angles 118.55, 118.93, 90.00 degrees
Fractional coordinates of all 16 atoms:
Tl1 0.5000 0.0000 0.5000
Tl2 0.0000 0.0000 0.0000
Tl3 0.0000 0.0000 0.5000
Tl4 0.5000 0.0000 0.0000
S1 0.7688 0.3106 0.0419
S2 0.7484 0.7115 0.4968
S3 0.7269 0.6894 0.9581
S4 0.2516 0.2885 0.5032
S5 0.2350 0.7002 0.4700
S6 0.2731 0.3106 0.0419
S7 0.2312 0.6894 0.9581
S8 0.7650 0.2998 0.5300
Te1 0.0000 0.5000 0.5000
Te2 0.5000 0.5000 0.5000
Te3 0.5000 0.5000 0.0000
Li1 0.0000 0.5000 0.0000

Results
The calculation puts the energy relative to the elements, uncorrected at -0.21 eV/atom. The total magnetization is 0.00 μB/atom.

The highest energy relative to the elements, uncorrected belongs to which entry?
LiTe3S

What is the energy relative to the elements, uncorrected in the fourth record?
0.50 eV/atom